No. 1
CsZrSN2: PBEsol geometry, meta-GGA SCAN.

a b c (Å): 4.1044 4.1044 5.7571
angles (deg): 90.00 90.00 90.00
Fractional coordinates of all 5 atoms:
Cs  0.0000  0.0000  0.0000
S  0.0000  0.0000  0.5000
Zr  0.5000  0.5000  0.5000
N  0.0000  0.5000  0.0000
N  0.5000  0.0000  0.0000

Output
electronic total energy: -17.40 eV/atom
formation energy without anion corrections: 1.9460 eV per atom
theoretical density: 4.87 g/cm³

=====

No. 2
Cs2SbN2: PBEsol geometry, meta-GGA SCAN.

a b c (Å): 5.4414 6.5930 6.5930
angles (deg): 90.00 90.00 90.00
Fractional coordinates of all 10 atoms:
Cs  0.5000  0.1726  0.6726
Cs  0.5000  0.6726  0.8274
Cs  0.5000  0.8274  0.3274
Cs  0.5000  0.3274  0.1726
Sb  0.0000  0.0000  0.0000
Sb  0.0000  0.5000  0.5000
N  0.0000  0.2983  0.7983
N  0.0000  0.7983  0.7017
N  0.0000  0.7017  0.2017
N  0.0000  0.2017  0.2983

Output
electronic total energy: -25.39 eV/atom
formation energy without anion corrections: 0.8992 eV per atom
theoretical density: 5.84 g/cm³

=====

No. 3
CsSbTe2N: PBEsol geometry, meta-GGA SCAN.

a b c (Å): 3.8948 6.2916 6.2916
angles (deg): 90.00 90.00 90.00
Fractional coordinates of all 5 atoms:
Cs  0.5000  0.5000  0.5000
Sb  0.0000  0.0000  0.0000
Te  0.0000  0.0000  0.5000
Te  0.0000  0.5000  0.0000
N  0.5000  0.0000  0.0000

Output
electronic total energy: -31.44 eV/atom
formation energy without anion corrections: 0.3302 eV per atom
theoretical density: 5.64 g/cm³

=====

No. 4
CsScN2: PBEsol geometry, meta-GGA SCAN.

a b c (Å): 3.4519 3.4519 7.3144
angles (deg): 76.35 76.35 60.00
Fractional coordinates of all 4 atoms:
Cs  0.0000  0.0000  0.0000
Sc  0.5000  0.5000  0.5000
N  0.8797  0.8797  0.3609
N  0.1203  0.1203  0.6391

Output
electronic total energy: -17.70 eV/atom
formation energy without anion corrections: -0.0380 eV per atom
theoretical density: 4.71 g/cm³